# 1
Here is a relaxed CdB2F8 crystal from Alexandria via LeMat-Bulk. Energies are from GGA-PBE.

It has space group C2/m (No. 12), with a = 9.746 Å, b = 5.504 Å, c = 5.380 Å, α = 90.00°, β = 106.86° and γ = 90.00°. The inequivalent atoms are Cd at (0.000, 0.000, 0.000), B at (0.198, 0.000, 0.684), F at (0.133, 0.205, 0.768), F at (0.154, 0.500, 0.213) and F at (0.162, 0.000, 0.406).

The value obtained for the energy above the most stable polymorph in this dataset is 49 meV/atom. As for the total energy: -5.298 eV/atom. As for the size of the total moment: 0.00 μB/atom. Its raw formation energy is -2.640 eV/atom.


# 2
Here is a relaxed YCoOs3 crystal from Alexandria via LeMat-Bulk. Energies are from GGA-PBE.

It has space group Pm-3m (No. 221), with a = 4.796 Å, b = 4.796 Å, c = 4.796 Å, α = 90.00°, β = 90.00° and γ = 90.00°. The inequivalent atoms are Y at (0.000, 0.000, 0.000), Co at (0.500, 0.500, 0.500) and Os at (0.000, 0.000, 0.500).

The value obtained for the energy above the most stable polymorph in this dataset is 2357 meV/atom. As for the total energy: -6.056 eV/atom. As for the size of the total moment: 0.13 μB/atom. The formation energy comes out at 16.979 eV/f.u.


# 3
Here is a relaxed HfNbCr crystal from Alexandria via LeMat-Bulk. Energies are from GGA-PBE.

It has space group Cm (No. 8), with a = 9.907 Å, b = 4.356 Å, c = 5.848 Å, α = 90.00°, β = 125.05° and γ = 90.00°. The inequivalent atoms are Hf at (0.000, 0.000, 0.000), Hf at (0.150, 0.500, 0.823), Nb at (0.294, 0.000, 0.621), Nb at (0.452, 0.500, 0.445), Cr at (0.150, 0.500, 0.331) and Cr at (0.333, 0.000, 0.168).

The value obtained for the energy above the most stable polymorph in this dataset is 109 meV/atom. As for the total energy: -9.766 eV/atom. As for the size of the total moment: 0.00 μB/atom. The formation energy comes out at 0.348 eV/f.u.


> Look up the size of the total moment of the first one.

0.00 μB/atom